# Nd4NpS7 PBE-GGA relaxed
# size of the total moment	4.33	μB per formula unit
# total energy	-6.975	eV/atom
# Fermi-level density of states	8.88	states/eV/f.u.
# formation energy without anion corrections	-1.9000	eV per atom
data_Nd4NpS7
_space_group_name_H-M_alt 'P 1'
_space_group_IT_number 1
_space_group_name_Hall 'P 1'
_cell_length_a 3.9506
_cell_length_b 6.9388
_cell_length_c 11.8801
_cell_angle_alpha 104.45
_cell_angle_beta 90.00
_cell_angle_gamma 106.54
loop_
_atom_site_label
_atom_site_type_symbol
_atom_site_fract_x
_atom_site_fract_y
_atom_site_fract_z
S1 S 0.9586 0.9171 0.2160
S2 S 0.6599 0.3197 0.0502
S3 S 0.3398 0.6796 0.9491
S4 S 0.4954 0.9908 0.5021
S5 S 0.2674 0.5347 0.6495
S6 S 0.0403 0.0805 0.7800
S7 S 0.7394 0.4788 0.3523
Nd1 Nd 0.9996 0.9992 0.9987
Nd2 Nd 0.6982 0.3964 0.8078
Nd3 Nd 0.3024 0.6049 0.1925
Nd4 Nd 0.1142 0.2283 0.4253
Np1 Np 0.8850 0.7699 0.5765